[1]
{
  "formula": "ScTaNbOs",
  "functional": "PBE-GGA",
  "state": "optimized geometry",
  "energy_ev_per_atom": -10.01,
  "volume_a3_per_fu": 69.4,
  "total_magnetization_mub_per_fu": 0.00,
  "formation_enthalpy_0k_ev_per_atom": -0.134,
  "lattice": [[0.000, 3.262, 3.262], [3.262, 0.000, 3.262], [3.262, 3.262, 0.000]],
  "species": ["Sc", "Ta", "Nb", "Os"],
  "fractional_positions": [[0.000, 0.000, 0.000], [0.500, 0.500, 0.500], [0.750, 0.750, 0.750], [0.250, 0.250, 0.250]]
}



[2]
{
  "formula": "Sc2TaNbOs",
  "functional": "PBE-GGA",
  "state": "optimized geometry",
  "energy_ev_per_atom": -8.42,
  "volume_a3_per_fu": 116.5,
  "total_magnetization_mub_per_fu": 0.00,
  "formation_enthalpy_0k_ev_per_atom": 0.741,
  "lattice": [[4.864, 0.000, 0.000], [0.000, 4.864, 0.000], [0.000, 0.000, 4.924]],
  "species": ["Sc", "Sc", "Ta", "Nb", "Os"],
  "fractional_positions": [[0.000, 0.500, 0.000], [0.500, 0.000, 0.000], [0.000, 0.000, 0.500], [0.500, 0.500, 0.500], [0.000, 0.000, 0.000]]
}



[3]
{
  "formula": "ScNbTcOs2",
  "functional": "PBE-GGA",
  "state": "optimized geometry",
  "energy_ev_per_atom": -8.46,
  "volume_a3_per_fu": 105.6,
  "total_magnetization_mub_per_fu": 0.21,
  "formation_enthalpy_0k_ev_per_atom": 1.385,
  "lattice": [[4.753, 0.000, 0.000], [0.000, 4.753, 0.000], [0.000, 0.000, 4.676]],
  "species": ["Sc", "Nb", "Tc", "Os", "Os"],
  "fractional_positions": [[0.000, 0.000, 0.000], [0.500, 0.500, 0.500], [0.500, 0.500, 0.000], [0.000, 0.500, 0.500], [0.500, 0.000, 0.500]]
}



[4]
{
  "formula": "Y2ScNbOs",
  "functional": "PBE-GGA",
  "state": "optimized geometry",
  "energy_ev_per_atom": -7.73,
  "volume_a3_per_fu": 141.6,
  "total_magnetization_mub_per_fu": 0.00,
  "formation_enthalpy_0k_ev_per_atom": 0.382,
  "lattice": [[5.391, 0.000, 0.000], [0.000, 5.391, 0.000], [0.000, 0.000, 4.873]],
  "species": ["Y", "Y", "Sc", "Nb", "Os"],
  "fractional_positions": [[0.000, 0.500, 0.000], [0.500, 0.000, 0.000], [0.000, 0.000, 0.500], [0.500, 0.500, 0.500], [0.500, 0.500, 0.000]]
}



[5]
{
  "formula": "ScNb2ZnOs",
  "functional": "PBE-GGA",
  "state": "optimized geometry",
  "energy_ev_per_atom": -7.05,
  "volume_a3_per_fu": 118.3,
  "total_magnetization_mub_per_fu": 0.00,
  "formation_enthalpy_0k_ev_per_atom": 0.742,
  "lattice": [[4.866, 0.000, 0.000], [0.000, 4.866, 0.000], [0.000, 0.000, 4.996]],
  "species": ["Sc", "Nb", "Nb", "Zn", "Os"],
  "fractional_positions": [[0.000, 0.000, 0.000], [0.000, 0.500, 0.500], [0.500, 0.000, 0.500], [0.500, 0.500, 0.000], [0.000, 0.000, 0.500]]
}



[6]
{
  "formula": "Nb2OsSe",
  "functional": "PBE-GGA",
  "state": "optimized geometry",
  "energy_ev_per_atom": -8.17,
  "volume_a3_per_fu": 99.0,
  "total_magnetization_mub_per_fu": 0.00,
  "lattice": [[-2.926, 2.926, 5.779], [2.926, -2.926, 5.779], [2.926, 2.926, -5.779]],
  "species": ["Nb", "Nb", "Nb", "Nb", "Os", "Os", "Se", "Se"],
  "fractional_positions": [[0.113, 0.625, 0.988], [0.375, 0.363, 0.488], [0.637, 0.125, 0.012], [0.875, 0.887, 0.512], [0.000, 0.000, 0.000], [0.750, 0.250, 0.500], [0.250, 0.750, 0.500], [0.500, 0.500, 0.000]]
}



[7]
{
  "formula": "NbOs3Se",
  "functional": "PBE-GGA",
  "state": "optimized geometry",
  "energy_ev_per_atom": -7.84,
  "volume_a3_per_fu": 91.5,
  "e_above_lowest_polymorph_mev_per_atom": 0.0,
  "total_magnetization_mub_per_fu": 0.00,
  "lattice": [[4.506, 0.000, 0.000], [0.000, 4.506, 0.000], [0.000, 0.000, 4.506]],
  "species": ["Nb", "Os", "Os", "Os", "Se"],
  "fractional_positions": [[0.000, 0.000, 0.000], [0.000, 0.500, 0.500], [0.500, 0.000, 0.500], [0.500, 0.500, 0.000], [0.500, 0.500, 0.500]]
}



[8]
{
  "formula": "NbOsSe6",
  "functional": "PBE-GGA",
  "state": "optimized geometry",
  "energy_ev_per_atom": -5.44,
  "volume_a3_per_fu": 181.9,
  "total_magnetization_mub_per_fu": 0.00,
  "lattice": [[5.941, 0.000, 0.000], [2.757, 5.539, 0.000], [2.767, 1.063, 5.527]],
  "species": ["Nb", "Os", "Se", "Se", "Se", "Se", "Se", "Se"],
  "fractional_positions": [[0.000, 0.000, 0.000], [0.500, 0.500, 0.500], [0.046, 0.742, 0.742], [0.315, 0.581, 0.182], [0.407, 0.110, 0.674], [0.593, 0.890, 0.326], [0.685, 0.419, 0.818], [0.954, 0.258, 0.258]]
}



[9]
{
  "formula": "Nb2OsSe6",
  "functional": "PBE-GGA",
  "state": "optimized geometry",
  "energy_ev_per_atom": -6.18,
  "volume_a3_per_fu": 191.6,
  "total_magnetization_mub_per_fu": 0.00,
  "lattice": [[6.343, 0.000, 0.000], [0.000, 6.218, 0.000], [-6.068, 0.000, 9.716]],
  "species": ["Nb", "Nb", "Nb", "Nb", "Os", "Os", "Se", "Se", "Se", "Se", "Se", "Se", "Se", "Se", "Se", "Se", "Se", "Se"],
  "fractional_positions": [[0.178, 0.159, 0.249], [0.178, 0.341, 0.749], [0.822, 0.659, 0.251], [0.822, 0.841, 0.751], [0.500, 0.000, 0.000], [0.500, 0.500, 0.500], [0.082, 0.166, 0.921], [0.082, 0.334, 0.421], [0.239, 0.660, 0.924], [0.239, 0.840, 0.424], [0.447, 0.029, 0.768], [0.447, 0.471, 0.268], [0.553, 0.529, 0.732], [0.553, 0.971, 0.232], [0.761, 0.160, 0.576], [0.761, 0.340, 0.076], [0.918, 0.666, 0.579], [0.918, 0.834, 0.079]]
}



[10]
{
  "formula": "NbOsSe3",
  "functional": "PBE-GGA",
  "state": "optimized geometry",
  "energy_ev_per_atom": -5.37,
  "volume_a3_per_fu": 110.9,
  "e_above_lowest_polymorph_mev_per_atom": 0.0,
  "total_magnetization_mub_per_fu": 0.00,
  "lattice": [[4.805, 0.000, 0.000], [0.000, 4.805, 0.000], [0.000, 0.000, 4.805]],
  "species": ["Nb", "Os", "Se", "Se", "Se"],
  "fractional_positions": [[0.000, 0.000, 0.000], [0.500, 0.500, 0.500], [0.000, 0.500, 0.500], [0.500, 0.000, 0.500], [0.500, 0.500, 0.000]]
}



[11]
{
  "formula": "NbOs3Se",
  "functional": "PBE-GGA",
  "state": "optimized geometry",
  "energy_ev_per_atom": -6.98,
  "volume_a3_per_fu": 110.8,
  "e_above_lowest_polymorph_mev_per_atom": 863.6,
  "total_magnetization_mub_per_fu": 3.39,
  "lattice": [[4.803, 0.000, 0.000], [0.000, 4.803, 0.000], [0.000, 0.000, 4.803]],
  "species": ["Nb", "Os", "Os", "Os", "Se"],
  "fractional_positions": [[0.000, 0.000, 0.000], [0.000, 0.000, 0.500], [0.000, 0.500, 0.000], [0.500, 0.000, 0.000], [0.500, 0.500, 0.500]]
}



[12]
{
  "formula": "NbOsSe4",
  "functional": "PBE-GGA",
  "state": "optimized geometry",
  "energy_ev_per_atom": -6.13,
  "volume_a3_per_fu": 134.9,
  "e_above_lowest_polymorph_mev_per_atom": 269.5,
  "total_magnetization_mub_per_fu": 0.00,
  "lattice": [[4.233, -4.296, 0.000], [4.233, 4.296, 0.000], [0.000, 0.000, 3.710]],
  "species": ["Nb", "Os", "Se", "Se", "Se", "Se"],
  "fractional_positions": [[0.000, 0.000, 0.000], [0.500, 0.500, 0.500], [0.209, 0.791, 0.500], [0.309, 0.309, 0.000], [0.691, 0.691, 0.000], [0.791, 0.209, 0.500]]
}



[13]
{
  "formula": "NbOsSe4",
  "functional": "PBE-GGA",
  "state": "optimized geometry",
  "energy_ev_per_atom": -6.40,
  "volume_a3_per_fu": 142.4,
  "e_above_lowest_polymorph_mev_per_atom": 0.0,
  "total_magnetization_mub_per_fu": 0.74,
  "lattice": [[7.097, -1.719, 0.000], [7.097, 1.719, 0.000], [-1.228, 0.000, 5.837]],
  "species": ["Nb", "Os", "Se", "Se", "Se", "Se"],
  "fractional_positions": [[0.000, 0.000, 0.000], [0.511, 0.511, 0.395], [0.136, 0.136, 0.346], [0.372, 0.372, 0.052], [0.608, 0.608, 0.811], [0.908, 0.908, 0.553]]
}



[14]
{
  "formula": "NbSnOs2Se",
  "functional": "PBE-GGA",
  "state": "optimized geometry",
  "energy_ev_per_atom": -6.21,
  "volume_a3_per_fu": 124.0,
  "total_magnetization_mub_per_fu": 1.55,
  "lattice": [[4.797, 0.000, 0.000], [0.000, 4.797, 0.000], [0.000, 0.000, 5.388]],
  "species": ["Nb", "Sn", "Os", "Os", "Se"],
  "fractional_positions": [[0.000, 0.000, 0.000], [0.000, 0.000, 0.500], [0.000, 0.500, 0.000], [0.500, 0.000, 0.000], [0.500, 0.500, 0.500]]
}



[15]
{
  "formula": "SrNbOsSe2",
  "functional": "PBE-GGA",
  "state": "optimized geometry",
  "energy_ev_per_atom": -5.02,
  "volume_a3_per_fu": 133.0,
  "total_magnetization_mub_per_fu": 3.41,
  "lattice": [[4.909, 0.000, 0.000], [0.000, 4.909, 0.000], [0.000, 0.000, 5.519]],
  "species": ["Sr", "Nb", "Os", "Se", "Se"],
  "fractional_positions": [[0.000, 0.000, 0.000], [0.500, 0.500, 0.000], [0.000, 0.000, 0.500], [0.000, 0.500, 0.500], [0.500, 0.000, 0.500]]
}



[16]
{
  "formula": "NbTc2OsSe",
  "functional": "PBE-GGA",
  "state": "optimized geometry",
  "energy_ev_per_atom": -7.96,
  "volume_a3_per_fu": 90.7,
  "total_magnetization_mub_per_fu": 0.00,
  "lattice": [[4.488, 0.000, 0.000], [0.000, 4.488, 0.000], [0.000, 0.000, 4.500]],
  "species": ["Nb", "Tc", "Tc", "Os", "Se"],
  "fractional_positions": [[0.000, 0.000, 0.000], [0.000, 0.500, 0.500], [0.500, 0.000, 0.500], [0.500, 0.500, 0.000], [0.500, 0.500, 0.500]]
}



[17]
{
  "formula": "Nb2SiOs2",
  "functional": "PBE-GGA",
  "state": "optimized geometry",
  "energy_ev_per_atom": -9.52,
  "volume_a3_per_fu": 84.5,
  "total_magnetization_mub_per_fu": 0.00,
  "lattice": [[7.428, 0.000, 0.000], [0.000, 7.428, 0.000], [0.000, 0.000, 3.063]],
  "species": ["Nb", "Nb", "Nb", "Nb", "Si", "Si", "Os", "Os", "Os", "Os"],
  "fractional_positions": [[0.162, 0.338, 0.000], [0.338, 0.838, 0.000], [0.662, 0.162, 0.000], [0.838, 0.662, 0.000], [0.000, 0.000, 0.500], [0.500, 0.500, 0.500], [0.135, 0.635, 0.500], [0.365, 0.135, 0.500], [0.635, 0.865, 0.500], [0.865, 0.365, 0.500]]
}



[18]
{
  "formula": "NbSi2Os2",
  "functional": "PBE-GGA",
  "state": "optimized geometry",
  "energy_ev_per_atom": -8.97,
  "volume_a3_per_fu": 71.4,
  "total_magnetization_mub_per_fu": 0.00,
  "lattice": [[7.098, 0.000, 0.000], [0.000, 7.098, 0.000], [0.000, 0.000, 2.836]],
  "species": ["Nb", "Nb", "Si", "Si", "Si", "Si", "Os", "Os", "Os", "Os"],
  "fractional_positions": [[0.000, 0.000, 0.000], [0.500, 0.500, 0.000], [0.146, 0.354, 0.000], [0.354, 0.854, 0.000], [0.646, 0.146, 0.000], [0.854, 0.646, 0.000], [0.150, 0.650, 0.500], [0.350, 0.150, 0.500], [0.650, 0.850, 0.500], [0.850, 0.350, 0.500]]
}



[19]
{
  "formula": "NbSi2Os",
  "functional": "PBE-GGA",
  "state": "optimized geometry",
  "energy_ev_per_atom": -7.88,
  "volume_a3_per_fu": 65.1,
  "total_magnetization_mub_per_fu": 0.00,
  "lattice": [[-1.922, 1.922, 8.808], [1.922, -1.922, 8.808], [1.922, 1.922, -8.808]],
  "species": ["Nb", "Nb", "Si", "Si", "Si", "Si", "Os", "Os"],
  "fractional_positions": [[0.000, 0.000, 0.000], [0.750, 0.250, 0.500], [0.160, 0.625, 0.035], [0.375, 0.410, 0.535], [0.590, 0.125, 0.965], [0.875, 0.840, 0.465], [0.250, 0.750, 0.500], [0.500, 0.500, 0.000]]
}



[20]
{
  "formula": "Nb3SiOs",
  "functional": "PBE-GGA",
  "state": "optimized geometry",
  "energy_ev_per_atom": -8.45,
  "volume_a3_per_fu": 95.5,
  "total_magnetization_mub_per_fu": 0.00,
  "lattice": [[4.571, 0.000, 0.000], [0.000, 4.571, 0.000], [0.000, 0.000, 4.571]],
  "species": ["Nb", "Nb", "Nb", "Si", "Os"],
  "fractional_positions": [[0.000, 0.000, 0.500], [0.000, 0.500, 0.000], [0.500, 0.000, 0.000], [0.000, 0.000, 0.000], [0.500, 0.500, 0.500]]
}



[21]
{
  "formula": "NbSiTcOs",
  "functional": "PBE-GGA",
  "state": "optimized geometry",
  "energy_ev_per_atom": -9.65,
  "volume_a3_per_fu": 58.8,
  "total_magnetization_mub_per_fu": 0.00,
  "lattice": [[0.000, 3.086, 3.086], [3.086, 0.000, 3.086], [3.086, 3.086, 0.000]],
  "species": ["Nb", "Si", "Tc", "Os"],
  "fractional_positions": [[0.000, 0.000, 0.000], [0.500, 0.500, 0.500], [0.250, 0.250, 0.250], [0.750, 0.750, 0.750]]
}



[22]
{
  "formula": "ThNbSi2Os",
  "functional": "PBE-GGA",
  "state": "optimized geometry",
  "energy_ev_per_atom": -8.52,
  "volume_a3_per_fu": 92.6,
  "total_magnetization_mub_per_fu": 0.00,
  "lattice": [[-2.060, 2.060, 5.458], [2.060, -2.060, 5.458], [2.060, 2.060, -5.458]],
  "species": ["Th", "Nb", "Si", "Si", "Os"],
  "fractional_positions": [[0.000, 0.000, 0.000], [0.250, 0.750, 0.500], [0.388, 0.388, 0.000], [0.612, 0.612, 0.000], [0.750, 0.250, 0.500]]
}



[23]
{
  "formula": "TmNbSi2Os",
  "functional": "PBE-GGA",
  "state": "optimized geometry",
  "energy_ev_per_atom": -7.92,
  "volume_a3_per_fu": 87.7,
  "total_magnetization_mub_per_fu": 0.00,
  "lattice": [[-2.007, 2.007, 5.442], [2.007, -2.007, 5.442], [2.007, 2.007, -5.442]],
  "species": ["Tm", "Nb", "Si", "Si", "Os"],
  "fractional_positions": [[0.000, 0.000, 0.000], [0.250, 0.750, 0.500], [0.392, 0.392, 0.000], [0.608, 0.608, 0.000], [0.750, 0.250, 0.500]]
}



[24]
{
  "formula": "U2NbSi2Os5",
  "functional": "PBE-GGA",
  "state": "optimized geometry",
  "energy_ev_per_atom": -10.18,
  "volume_a3_per_fu": 167.1,
  "total_magnetization_mub_per_fu": 2.21,
  "lattice": [[9.709, 0.000, 0.000], [0.000, 9.709, 0.000], [0.000, 0.000, 3.545]],
  "species": ["U", "U", "U", "U", "Nb", "Nb", "Si", "Si", "Si", "Si", "Os", "Os", "Os", "Os", "Os", "Os", "Os", "Os", "Os", "Os"],
  "fractional_positions": [[0.178, 0.322, 0.000], [0.322, 0.822, 0.000], [0.678, 0.178, 0.000], [0.822, 0.678, 0.000], [0.000, 0.000, 0.000], [0.500, 0.500, 0.000], [0.121, 0.621, 0.000], [0.379, 0.121, 0.000], [0.621, 0.879, 0.000], [0.879, 0.379, 0.000], [0.000, 0.500, 0.500], [0.074, 0.789, 0.500], [0.211, 0.074, 0.500], [0.289, 0.574, 0.500], [0.426, 0.289, 0.500], [0.500, 0.000, 0.500], [0.574, 0.711, 0.500], [0.711, 0.426, 0.500], [0.789, 0.926, 0.500], [0.926, 0.211, 0.500]]
}



[25]
{
  "formula": "Nb2SiOsW",
  "functional": "PBE-GGA",
  "state": "optimized geometry",
  "energy_ev_per_atom": -8.62,
  "volume_a3_per_fu": 103.3,
  "total_magnetization_mub_per_fu": 0.00,
  "lattice": [[4.872, 0.000, 0.000], [0.000, 4.872, 0.000], [0.000, 0.000, 4.354]],
  "species": ["Nb", "Nb", "Si", "Os", "W"],
  "fractional_positions": [[0.000, 0.500, 0.000], [0.500, 0.000, 0.000], [0.000, 0.000, 0.500], [0.000, 0.000, 0.000], [0.500, 0.500, 0.500]]
}



[26]
{
  "formula": "SmNbOs",
  "functional": "PBE-GGA",
  "state": "optimized geometry",
  "energy_ev_per_atom": -8.70,
  "volume_a3_per_fu": 68.1,
  "total_magnetization_mub_per_fu": 0.00,
  "formation_enthalpy_0k_ev_per_atom": -0.028,
  "lattice": [[5.518, 0.000, 0.000], [0.000, 4.424, 0.000], [-1.470, 0.000, 5.580]],
  "species": ["Sm", "Sm", "Nb", "Nb", "Os", "Os"],
  "fractional_positions": [[0.230, 0.250, 0.428], [0.770, 0.750, 0.572], [0.347, 0.750, 0.963], [0.653, 0.250, 0.037], [0.097, 0.250, 0.894], [0.903, 0.750, 0.106]]
}